The following is a PBE calculation of a relaxed MgAs2PbSe crystal, from Alexandria.

Structure (extended XYZ):
```
5
Lattice="4.982 0.000 0.000 0.000 4.982 0.000 0.000 0.000 5.277" Properties=species:S:1:pos:R:3 pbc="T T T"
Mg 0.000 0.000 0.000
As 0.000 2.491 0.000
As 2.491 0.000 0.000
Pb 2.491 2.491 2.638
Se 0.000 0.000 2.638
```

Calculated values
Energy relative to the elements, uncorrected, eV/atom: 0.257
Fermi-level density of states, states/eV/atom: 0.81